(1)
Below is a relaxed structure of HfNbCoSn, with properties calculated at the GGA-PBE level.

Values from the calculation:
As for the space-group type: No. 216. For the relative energy among the computed polymorphs, the calculation gives 0.000 eV/atom.

abc: 4.6434 4.6434 4.6434
angles: 60.00 60.00 60.00
Site moments in Bohr magnetons follow the coordinates.
Atoms (fractional coordinates):
Nb 0.2500 0.2500 0.2500  1.07
Hf 0.5000 0.5000 0.5000  0.24
Sn 0.0000 0.0000 0.0000  -0.01
Co 0.7500 0.7500 0.7500  0.50

(2)
Below is a relaxed structure of HfFe2Pb, with properties calculated at the GGA-PBE level.

Values from the calculation:
The value obtained for the total energy is -28.9 eV/cell. As for the space-group type: No. 216.

abc: 4.5957 4.5957 4.5957
angles: 60.00 60.00 60.00
Site moments in Bohr magnetons follow the coordinates.
Atoms (fractional coordinates):
Fe 0.7500 0.7500 0.7500  2.48
Fe 0.0000 0.0000 0.0000  2.38
Pb 0.5000 0.5000 0.5000  0.01
Hf 0.2500 0.2500 0.2500  -0.29

(3)
Below is a relaxed structure of NaTaZnPt, with properties calculated at the GGA-PBE level.

Values from the calculation:
As for the space-group type: No. 216. For the relative energy among the computed polymorphs, the calculation gives 0.000 eV/atom.

abc: 4.4921 4.4921 4.4921
angles: 60.00 60.00 60.00
Atoms (fractional coordinates):
Na 0.7500 0.7500 0.7500
Zn 0.0000 0.0000 0.0000
Pt 0.2500 0.2500 0.2500
Ta 0.5000 0.5000 0.5000

(4)
Below is a relaxed structure of PuTlB, with properties calculated at the GGA-PBE level.

Values from the calculation:
As for the space-group type: No. 216. For the relative energy among the computed polymorphs, the calculation gives 0.747 eV/atom.

abc: 4.7406 4.7406 4.7406
angles: 60.00 60.00 60.00
Site moments in Bohr magnetons follow the coordinates.
Atoms (fractional coordinates):
Pu 0.0000 0.0000 0.0000  5.20
B 0.2500 0.2500 0.2500  0.00
Tl 0.7500 0.7500 0.7500  0.07

(5)
Below is a relaxed structure of PmAlZn, with properties calculated at the GGA-PBE level.

Values from the calculation:
As for the space-group type: No. 187. For the relative energy among the computed polymorphs, the calculation gives 0.000 eV/atom.

abc: 4.5411 4.5411 3.6996
angles: 90.00 90.00 120.00
Atoms (fractional coordinates):
Pm 0.3333 0.6667 0.6665
Zn 0.6667 0.3333 0.1671
Al 0.0000 0.0000 0.1664

(6)
Below is a relaxed structure of SiOsPb2, with properties calculated at the GGA-PBE level.

Values from the calculation:
The value obtained for the total energy is -20.3 eV/cell. As for the space-group type: No. 216.

abc: 4.9087 4.9087 4.9087
angles: 60.00 60.00 60.00
Atoms (fractional coordinates):
Si 0.7500 0.7500 0.7500
Pb 0.2500 0.2500 0.2500
Pb 0.0000 0.0000 0.0000
Os 0.5000 0.5000 0.5000

(7)
Below is a relaxed structure of LaGdPd2, with properties calculated at the GGA-PBE level.

Values from the calculation:
The value obtained for the total energy is -23.4 eV/cell. As for the space-group type: No. 38.

abc: 4.6480 5.7453 5.7453
angles: 39.09 90.00 90.00
Atoms (fractional coordinates):
Pd 0.5000 0.9144 0.9144
Pd 0.0000 0.0888 0.0888
Gd 0.5000 0.6349 0.6349
La 0.0000 0.3620 0.3620

(8)
Below is a relaxed structure of ZrAlFe, with properties calculated at the GGA-PBE level.

Values from the calculation:
The value obtained for the total energy is -86.6 eV/cell. As for the space-group type: No. 62.

abc: 6.7193 4.3331 6.5813
angles: 90.00 90.00 90.00
Atoms (fractional coordinates):
Fe 0.6548 0.2500 0.4494
Fe 0.1548 0.2500 0.0506
Fe 0.3452 0.7500 0.5506
Fe 0.8452 0.7500 0.9494
Al 0.3020 0.2500 0.3846
Al 0.6979 0.7500 0.6154
Al 0.1979 0.7500 0.8846
Al 0.8020 0.2500 0.1154
Zr 0.0294 0.7500 0.3071
Zr 0.5294 0.7500 0.1929
Zr 0.9706 0.2500 0.6929
Zr 0.4706 0.2500 0.8071

(9)
Below is a relaxed structure of Pm2Pt2Pb, with properties calculated at the GGA-PBE level.

Values from the calculation:
The value obtained for the total energy is -60.6 eV/cell. As for the space-group type: No. 127.

abc: 8.0051 8.0051 3.7629
angles: 90.00 90.00 90.00
Atoms (fractional coordinates):
Pt 0.1260 0.3740 0.0000
Pt 0.8740 0.6260 0.0000
Pt 0.3740 0.8740 0.0000
Pt 0.6260 0.1260 0.0000
Pm 0.8284 0.3284 0.5000
Pm 0.3284 0.1716 0.5000
Pm 0.6716 0.8284 0.5000
Pm 0.1716 0.6716 0.5000
Pb 0.5000 0.5000 0.0000
Pb 0.0000 0.0000 0.0000

(10)
Below is a relaxed structure of KCd2As2, with properties calculated at the GGA-PBE level.

Values from the calculation:
The value obtained for the total energy is -13.5 eV/cell. As for the space-group type: No. 139.

abc: 6.9604 6.9604 6.9604
angles: 142.06 142.06 54.74
Atoms (fractional coordinates):
As 0.6161 0.6161 0.0000
As 0.3839 0.3839 0.0000
Cd 0.2500 0.7500 0.5000
Cd 0.7500 0.2500 0.5000
K 0.0000 0.0000 0.0000

(11)
Below is a relaxed structure of Sc2NbMo, with properties calculated at the GGA-PBE level.

Values from the calculation:
The value obtained for the total energy is -33.2 eV/cell. As for the space-group type: No. 216.

abc: 4.7448 4.7448 4.7448
angles: 60.00 60.00 60.00
Atoms (fractional coordinates):
Mo 0.7500 0.7500 0.7500
Nb 0.0000 0.0000 0.0000
Sc 0.2500 0.2500 0.2500
Sc 0.5000 0.5000 0.5000

(12)
Below is a relaxed structure of Na2ZnCoAs2, with properties calculated at the GGA-PBE level.

Values from the calculation:
The value obtained for the total energy is -21.9 eV/cell. As for the space-group type: No. 115.

abc: 4.0368 4.0368 6.9140
angles: 90.00 90.00 90.00
Site moments in Bohr magnetons follow the coordinates.
Atoms (fractional coordinates):
Na 0.0000 0.5000 0.3505  0.01
Na 0.5000 0.0000 0.6495  0.00
Co 0.0000 0.0000 0.0000  1.37
Zn 0.5000 0.5000 0.0000  0.01
As 0.0000 0.5000 0.7883  0.04
As 0.5000 0.0000 0.2117  0.05

Q: Number 4 is which compound?
A: PuTlB